# 1
# CaTb7Nd3 | the Alexandria database | PBE | optimized geometry
data_CaTb7Nd3
_chemical_formula_sum 'Ca2 Tb14 Nd6'
_cell_length_a 11.7906
_cell_length_b 10.1171
_cell_length_c 6.4978
_cell_angle_alpha 90.00
_cell_angle_beta 94.81
_cell_angle_gamma 90.00
_space_group_name_H-M_alt 'C 1 2/m 1'
_space_group_IT_number 12
loop_
_space_group_symop_operation_xyz
'x,y,z'
'-x,-y,-z'
'-x,y,-z'
'x,-y,z'
'x+1/2,y+1/2,z'
'-x+1/2,-y+1/2,-z'
'-x+1/2,y+1/2,-z'
'x+1/2,-y+1/2,z'
loop_
_atom_site_label
_atom_site_type_symbol
_atom_site_fract_x
_atom_site_fract_y
_atom_site_fract_z
Ca1 Ca 0.0000 0.0000 0.0000
Tb1 Tb 0.0000 0.0000 0.5000
Tb2 Tb 0.2353 0.5000 0.7077
Tb3 Tb 0.2437 0.1702 0.7569
Nd1 Nd 0.0000 0.3260 0.5000
Nd2 Nd 0.0000 0.5000 0.0000
# - uncorrected energy (eV per formula unit) = -46.169
# - total magnetic moment (Bohr magnetons per cell) = 0.000
# - DOS at the Fermi energy (states/eV per cell) = 31.021
# - E_form (eV per atom) = 0.2316

***

# 2
# CaTbNd2 | the Alexandria database | PBE | optimized geometry
data_CaTbNd2
_chemical_formula_sum 'Ca3 Tb3 Nd6'
_cell_length_a 3.6118
_cell_length_b 3.6118
_cell_length_c 38.6174
_cell_angle_alpha 90.00
_cell_angle_beta 90.00
_cell_angle_gamma 120.00
_space_group_name_H-M_alt 'R -3 m'
_space_group_IT_number 166
_space_group_name_Hall '-R 3 2"'
loop_
_atom_site_label
_atom_site_type_symbol
_atom_site_fract_x
_atom_site_fract_y
_atom_site_fract_z
Ca1 Ca 0.0000 0.0000 0.0000
Tb1 Tb 0.0000 0.0000 0.5000
Nd1 Nd 0.0000 0.0000 0.0916
# - uncorrected energy (eV per formula unit) = -15.664
# - total magnetic moment (Bohr magnetons per cell) = 0.000
# - DOS at the Fermi energy (states/eV per cell) = 14.565
# - E_form (eV per atom) = 0.1258

***

# 3
# CaTb2Nd2 | the Alexandria database | PBE | optimized geometry
data_CaTb2Nd2
_chemical_formula_sum 'Ca2 Tb4 Nd4'
_cell_length_a 5.6178
_cell_length_b 17.6530
_cell_length_c 3.5860
_cell_angle_alpha 90.00
_cell_angle_beta 90.00
_cell_angle_gamma 90.00
_space_group_name_H-M_alt 'C m m m'
_space_group_IT_number 65
_space_group_name_Hall '-C 2 2'
loop_
_atom_site_label
_atom_site_type_symbol
_atom_site_fract_x
_atom_site_fract_y
_atom_site_fract_z
Ca1 Ca 0.0000 0.0000 0.0000
Tb1 Tb 0.0000 0.2012 0.0000
Nd1 Nd 0.0000 0.3798 0.5000
# - uncorrected energy (eV per formula unit) = -20.577
# - total magnetic moment (Bohr magnetons per cell) = 0.000
# - DOS at the Fermi energy (states/eV per cell) = 12.981
# - E_form (eV per atom) = 0.0442